Model a:
{"formula": "Ta2SbF", "functional": "PBE", "state": "optimized geometry", "density_g_cm3": 10.053, "crystal_system": "tetragonal", "sg": "No. 122", "magmom_total_mub_per_fu": 0.0, "cell": [[-4.038, -2.178, -0.745], [0.652, -2.525, 3.847], [-5.343, 3.003, 5.685]], "species": ["Sb", "Sb", "F", "F", "Ta", "Ta", "Ta", "Ta"], "frac_coords": [[0.000, 0.000, 0.000], [0.750, 0.250, 0.500], [0.500, 0.500, 0.000], [0.250, 0.750, 0.500], [0.507, 0.125, 0.250], [0.243, 0.625, 0.250], [0.375, 0.493, 0.750], [0.875, 0.757, 0.750]]}

=====

Model b:
{"formula": "Ta2SbF", "functional": "PBE", "state": "optimized geometry", "density_g_cm3": 12.119, "crystal_system": "cubic", "sg": "No. 225", "magmom_total_mub_per_fu": 0.0, "cell": [[0.130, -1.594, 4.314], [-1.557, 2.601, 3.461], [-3.905, -1.133, 2.153]], "species": ["Sb", "F", "Ta", "Ta"], "frac_coords": [[0.500, 0.500, 0.500], [0.000, 0.000, 0.000], [0.250, 0.250, 0.250], [0.750, 0.750, 0.750]]}

=====

Quick ranking, most stable first: model b, model a.